NdTaRe: relaxed, PBE-GGA.

Results
Magnetization: 0.01 μB/cell
Total DFT energy (no corrections): -0.286 Ha/atom

Unit cell a=4.611 b=4.611 c=4.611 alpha=60.00 beta=60.00 gamma=60.00
Sites, in units of the cell vectors:
Nd  0.000  0.000  0.000
Re  0.250  0.250  0.250
Ta  0.750  0.750  0.750